Below is a relaxed structure of KCa, with properties calculated at the PBE level.

Computed properties:
Crystal system ... trigonal
ΔH_f (0 K) ... 0.17 eV per atom
Mass density ... 1.2 Mg/m³
Fermi-level density of states ... 2.450 states/eV/f.u.

```
2
Lattice="2.043 1.180 7.296 -2.043 1.180 7.296 0.000 -2.360 7.296" Properties=species:S:1:pos:R:3 pbc="T T T"
K 0.000 0.000 0.000
Ca 0.000 0.000 10.944
```

Below is a relaxed structure of Ce2UTc3, with properties calculated at the PBE level.

Computed properties:
E above lowest polymorph ... 0 meV/atom
Crystal system ... monoclinic
ΔH_f (0 K) ... -0.14 eV per atom
Mass density ... 11.0 Mg/m³
Fermi-level density of states ... 7.648 states/eV/f.u.

```
12
Lattice="5.143 0.000 0.000 0.000 5.980 0.000 -1.694 0.000 7.978" Properties=species:S:1:pos:R:3 pbc="T T T"
Ce -0.017 1.495 3.750
Ce 1.325 4.485 2.104
Ce 2.124 1.495 5.874
Ce 3.466 4.485 4.228
U 1.911 1.495 0.591
U 1.538 4.485 7.387
Tc -0.744 2.993 6.883
Tc -0.744 5.976 6.883
Tc 0.833 4.485 4.992
Tc 2.616 1.495 2.987
Tc 4.193 0.004 1.095
Tc 4.193 2.986 1.095
```